No. 1
Computed, not measured: a relaxed Rb2Zn2Ni crystal at the PBE-GGA level of DFT.

abc: 6.9357 6.9357 6.0813
angles: 90.00 90.00 90.00
Space group P4/mbm (No. 127)
One atom of each set of equivalent atoms:
Rb 0.1732 0.3268 0.0000 x4
Zn 0.2033 0.7033 0.5000 x4
Ni 0.0000 0.0000 0.5000 x2

Properties
Uncorrected energy: -1.71 eV per atom


No. 2
Computed, not measured: a relaxed Rb3ZrNi crystal at the PBE-GGA level of DFT.

abc: 6.4105 6.4105 6.4105
angles: 90.00 90.00 90.00
Space group Pm-3m (No. 221)
One atom of each set of equivalent atoms:
Rb 0.0000 0.0000 0.5000 x3
Zr 0.5000 0.5000 0.5000 x1
Ni 0.0000 0.0000 0.0000 x1

Properties
Uncorrected energy: -2.13 eV per atom


No. 3
Computed, not measured: a relaxed Re3Ni crystal at the PBE-GGA level of DFT.

abc: 4.3705 5.4550 4.6905
angles: 90.00 90.00 90.00
Space group Pmmn (No. 59, origin choice 2)
One atom of each set of equivalent atoms:
Re 0.2500 0.0026 0.1710 x4
Re 0.2500 0.7500 0.6654 x2
Ni 0.2500 0.2500 0.6685 x2

Properties
Uncorrected energy: -10.87 eV per atom


No. 4
Computed, not measured: a relaxed Re3Ni crystal at the PBE-GGA level of DFT.

abc: 2.7438 2.7438 8.6924
angles: 90.00 90.00 120.00
Space group P-6m2 (No. 187)
One atom of each set of equivalent atoms:
Re 0.0000 0.0000 0.0000 x1
Re 0.3333 0.6667 0.2589 x2
Ni 0.0000 0.0000 0.5000 x1

Properties
Uncorrected energy: -10.73 eV per atom


No. 5
Computed, not measured: a relaxed ReNi2 crystal at the PBE-GGA level of DFT.

abc: 2.6476 2.6476 6.2231
angles: 90.00 90.00 120.00
Space group P-3m1 (No. 164)
One atom of each set of equivalent atoms:
Re 0.0000 0.0000 0.0000 x1
Ni 0.3333 0.6667 0.6626 x2

Properties
Uncorrected energy: -7.89 eV per atom


No. 6
Computed, not measured: a relaxed ReNi3 crystal at the PBE-GGA level of DFT.

abc: 4.5807 4.5807 4.5807
angles: 90.00 90.00 90.00
Space group Pm-3n (No. 223)
One atom of each set of equivalent atoms:
Re 0.0000 0.0000 0.0000 x2
Ni 0.0000 0.2500 0.5000 x6

Properties
Uncorrected energy: -7.32 eV per atom


No. 7
Computed, not measured: a relaxed ReNi2 crystal at the PBE-GGA level of DFT.

abc: 5.2237 3.6072 7.8046
angles: 90.00 90.00 90.00
Space group Pnma (No. 62)
One atom of each set of equivalent atoms:
Re 0.1234 0.2500 0.0777 x4
Ni 0.1175 0.2500 0.4148 x4
Ni 0.1294 0.2500 0.7498 x4

Properties
Uncorrected energy: -8.00 eV per atom


No. 8
Computed, not measured: a relaxed Re5Ni crystal at the PBE-GGA level of DFT.

abc: 10.0040 2.7777 6.4442
angles: 90.00 104.57 90.00
Space group Cm (No. 8)
One atom of each set of equivalent atoms:
Re 0.0000 0.0000 0.0000 x2
Re 0.0537 0.0000 0.6041 x2
Re 0.2155 0.5000 0.9496 x2
Re 0.3262 0.0000 0.6640 x2
Re 0.3817 0.0000 0.2798 x2
Ni 0.1615 0.5000 0.3344 x2

Properties
Uncorrected energy: -11.31 eV per atom


No. 9
Computed, not measured: a relaxed ReNi2 crystal at the PBE-GGA level of DFT.

abc: 2.5876 3.7213 7.5746
angles: 90.00 90.00 90.00
Space group Immm (No. 71)
One atom of each set of equivalent atoms:
Re 0.0000 0.0000 0.0000 x2
Ni 0.0000 0.0000 0.3338 x4

Properties
Uncorrected energy: -8.02 eV per atom


No. 10
Computed, not measured: a relaxed Re4Ni5 crystal at the PBE-GGA level of DFT.

abc: 7.2273 7.2273 5.1219
angles: 90.00 90.00 120.00
Space group P6_3/mcm (No. 193)
One atom of each set of equivalent atoms:
Re 0.0000 0.0000 0.0000 x2
Re 0.0000 0.3396 0.2500 x6
Ni 0.0000 0.3294 0.7500 x6
Ni 0.3333 0.6667 0.0000 x4

Properties
Uncorrected energy: -8.49 eV per atom


No. 11
Computed, not measured: a relaxed ReNi3 crystal at the PBE-GGA level of DFT.

abc: 4.4249 8.3742 5.1649
angles: 90.00 90.00 90.00
Space group Pnma (No. 62)
One atom of each set of equivalent atoms:
Re 0.0801 0.2500 0.1192 x4
Ni 0.0843 0.2500 0.6356 x4
Ni 0.2481 0.9996 0.8796 x8

Properties
Uncorrected energy: -7.40 eV per atom


No. 12
Computed, not measured: a relaxed ReNi3 crystal at the PBE-GGA level of DFT.

abc: 3.6007 3.6007 14.6111
angles: 90.00 90.00 90.00
Space group I4/mmm (No. 139)
One atom of each set of equivalent atoms:
Re 0.0000 0.0000 0.1268 x4
Ni 0.0000 0.0000 0.3772 x4
Ni 0.0000 0.5000 0.0000 x4
Ni 0.0000 0.5000 0.2500 x4

Properties
Uncorrected energy: -7.33 eV per atom


No. 13
Computed, not measured: a relaxed ReNi4 crystal at the PBE-GGA level of DFT.

abc: 5.3863 5.3863 5.3863
angles: 90.00 90.00 90.00
Space group Im-3m (No. 229)
One atom of each set of equivalent atoms:
Re 0.0000 0.0000 0.0000 x2
Ni 0.2500 0.2500 0.2500 x8

Properties
Uncorrected energy: -6.17 eV per atom


No. 14
Computed, not measured: a relaxed Re2Ni crystal at the PBE-GGA level of DFT.

abc: 2.6213 2.6213 24.6638
angles: 90.00 90.00 90.00
Space group I4_1/amd (No. 141, origin choice 2)
One atom of each set of equivalent atoms:
Re 0.0000 0.2500 0.2989 x8
Ni 0.0000 0.2500 0.8750 x4

Properties
Uncorrected energy: -9.88 eV per atom


No. 15
Computed, not measured: a relaxed ReNi2 crystal at the PBE-GGA level of DFT.

abc: 9.5398 2.6131 6.1348
angles: 90.00 104.24 90.00
Space group Cm (No. 8)
One atom of each set of equivalent atoms:
Re 0.0000 0.0000 0.0000 x2
Re 0.1729 0.5000 0.3506 x2
Ni 0.1174 0.5000 0.7329 x2
Ni 0.2795 0.0000 0.0612 x2
Ni 0.3389 0.0000 0.6735 x2
Ni 0.4476 0.5000 0.3942 x2

Properties
Uncorrected energy: -7.96 eV per atom


No. 16
Computed, not measured: a relaxed ReNi3 crystal at the PBE-GGA level of DFT.

abc: 5.0846 7.3236 2.5714
angles: 90.00 90.00 90.00
Space group Cmmm (No. 65)
One atom of each set of equivalent atoms:
Re 0.0000 0.0000 0.0000 x2
Ni 0.0000 0.5000 0.0000 x2
Ni 0.2500 0.2500 0.5000 x4

Properties
Uncorrected energy: -7.37 eV per atom


No. 17
Computed, not measured: a relaxed Re7Ni crystal at the PBE-GGA level of DFT.

abc: 7.7638 7.7638 7.7638
angles: 90.00 90.00 90.00
Space group Fm-3m (No. 225)
One atom of each set of equivalent atoms:
Re 0.0000 0.0000 0.0000 x4
Re 0.0000 0.2500 0.2500 x24
Ni 0.0000 0.0000 0.5000 x4

Properties
Uncorrected energy: -11.54 eV per atom


No. 18
Computed, not measured: a relaxed Re5Ni crystal at the PBE-GGA level of DFT.

abc: 5.0264 5.0264 4.5842
angles: 90.00 90.00 120.00
Space group P6/mmm (No. 191)
One atom of each set of equivalent atoms:
Re 0.0000 0.5000 0.0000 x3
Re 0.3333 0.6667 0.5000 x2
Ni 0.0000 0.0000 0.5000 x1

Properties
Uncorrected energy: -10.63 eV per atom


No. 19
Computed, not measured: a relaxed ReNi3 crystal at the PBE-GGA level of DFT.

abc: 5.1332 8.9798 4.1397
angles: 90.00 90.00 90.00
Space group Cmcm (No. 63)
One atom of each set of equivalent atoms:
Re 0.0000 0.0867 0.2500 x4
Ni 0.0000 0.4198 0.7500 x4
Ni 0.2447 0.3297 0.2500 x8

Properties
Uncorrected energy: -7.43 eV per atom


No. 20
Computed, not measured: a relaxed ReNi2 crystal at the PBE-GGA level of DFT.

abc: 5.6622 5.6622 5.6622
angles: 90.00 90.00 90.00
Space group Pa-3 (No. 205)
One atom of each set of equivalent atoms:
Re 0.0000 0.0000 0.0000 x4
Ni 0.1187 0.6187 0.8813 x8

Properties
Uncorrected energy: -6.87 eV per atom


no.,D(E_F) (states/eV/atom),energy relative to the elements (meV per atom)
1,0.45,345.6
2,2.44,1319.0
3,0.48,-84.0
4,0.82,54.3
5,1.47,109.3
6,1.42,130.6
7,0.89,5.9
8,0.84,24.7
9,0.48,-18.8
10,0.96,254.0
11,1.55,45.0
12,1.63,119.6
13,0.81,942.5
14,0.89,348.4
15,0.87,47.2
16,1.45,80.9
17,1.00,79.0
18,0.74,702.7
19,1.33,20.7
20,1.67,1138.0